A plane-wave DFT calculation with PBE was carried out for a relaxed KNp2PtO8 crystal.

Output
Raw formation energy = -2.08 eV per atom
Symmetry = P-1 (2)
Total magnetization = 0.99 μB per formula unit
Energy = -97.6 eV per cell

Lattice parameters (Å, degrees): 5.583 5.643 6.988 86.36 86.35 75.11
Each line ends with the local moment (μB).
Sites, in units of the cell vectors:
O 0.642 0.639 0.530  -0.04
O 0.809 0.226 0.800  -0.05
O 0.358 0.361 0.470  -0.04
O 0.644 0.639 0.024  -0.04
O 0.773 0.191 0.200  -0.05
O 0.191 0.774 0.200  -0.05
O 0.356 0.361 0.976  -0.04
O 0.227 0.809 0.800  -0.05
Np 0.499 0.499 0.242  0.73
Np 0.501 0.501 0.758  0.73
Pt 0.000 0.000 0.000  -0.12
K 0.000 0.000 0.500  0.00

A plane-wave DFT calculation with PBE was carried out for a relaxed Be2Zn2Ni crystal.

Output
Symmetry = P4/mbm (127)
Total magnetization = 0.00 μB per formula unit
Energy = -30.1 eV per cell
Calculated formation energy = 13.7 kJ per mole of atoms
Relative energy among the computed polymorphs = 8.37 kJ per mole of atoms

Lattice parameters (Å, degrees): 6.495 6.495 2.668 90.00 90.00 90.00
Sites, in units of the cell vectors:
Zn 0.638 0.138 0.000
Zn 0.862 0.638 0.000
Zn 0.138 0.362 0.000
Zn 0.362 0.862 0.000
Ni 0.500 0.500 0.000
Ni 0.000 0.000 0.000
Be 0.664 0.836 0.500
Be 0.836 0.336 0.500
Be 0.336 0.164 0.500
Be 0.164 0.664 0.500

A plane-wave DFT calculation with PBE was carried out for a relaxed Rb4La3AlO8 crystal.

Output
Raw formation energy = -2.39 eV per atom
Symmetry = C2/m (12)
Total magnetization = 0.00 μB per formula unit
Energy = -100.3 eV per cell

Lattice parameters (Å, degrees): 7.063 7.689 7.393 116.32 118.53 90.00
Sites, in units of the cell vectors:
Rb 0.000 0.000 0.500
Rb 0.500 0.000 0.500
Rb 0.000 0.000 0.000
Rb 0.500 0.000 0.000
Al 0.000 0.500 0.000
La 0.000 0.500 0.500
La 0.500 0.500 0.500
La 0.500 0.500 0.000
O 0.715 0.681 0.430
O 0.777 0.649 0.951
O 0.174 0.649 0.951
O 0.285 0.319 0.570
O 0.269 0.720 0.538
O 0.731 0.280 0.462
O 0.223 0.351 0.049
O 0.826 0.351 0.049

A plane-wave DFT calculation with PBE was carried out for a relaxed La2Mo2C2N crystal.

Output
Raw formation energy = -0.40 eV per atom
Symmetry = C2/m (12)
Total magnetization = 0.00 μB per formula unit
Energy = -61.1 eV per cell

Lattice parameters (Å, degrees): 3.392 5.964 6.264 69.69 74.29 73.48
Sites, in units of the cell vectors:
Mo 0.799 0.308 0.095
Mo 0.201 0.692 0.905
C 0.171 0.407 0.251
C 0.829 0.593 0.749
La 0.561 0.213 0.666
La 0.439 0.787 0.334
N 0.000 0.000 0.000

Q: The highest energy belongs to which entry?
A: Be2Zn2Ni

Q: The highest energy belongs to which entry?
A: Be2Zn2Ni